The following is a GGA-PBE calculation of a geometry-optimized Ta7Rh2C2 structure, from Alexandria via LeMat-Bulk.

a = 2.975 Å, b = 8.341 Å, c = 8.341 Å
α = 55.57°, β = 79.73°, γ = 79.73°
Fractional coordinates of all 11 atoms:
Ta1 0.819 0.088 0.273
Ta2 0.843 0.417 0.898
Ta3 0.500 0.021 0.979
Ta4 0.642 0.451 0.265
Ta5 0.358 0.735 0.549
Ta6 0.181 0.727 0.912
Ta7 0.157 0.102 0.583
Rh1 0.000 0.717 0.283
Rh2 0.500 0.357 0.643
C1 0.745 0.874 0.636
C2 0.255 0.364 0.126

Calculated values
ρ: 14.9 g/cm3
Fermi-level density of states: 0.803 states/eV per atom
E_form: -0.19 eV/atom
E: -10.745 eV/atom
symmetry: Imm2 (44)